1.
Density functional theory data (PBE-GGA) for a relaxed structure of Nd2ZrUAs4. Values from VASP.

Geometry as Quantum ESPRESSO input:
```
&SYSTEM
  ibrav = 0, nat = 8, ntyp = 4
/
ATOMIC_SPECIES
Nd 144.24 Nd.upf
Zr 91.22 Zr.upf
U 238.03 U.upf
As 74.92 As.upf
ATOMIC_POSITIONS crystal
Nd 0.500 0.000 0.500
Nd 0.000 0.500 0.500
Zr 0.000 0.000 0.000
U 0.500 0.500 0.000
As 0.500 0.239 0.228
As 0.500 0.761 0.772
As 0.000 0.250 0.767
As 0.000 0.750 0.233
CELL_PARAMETERS angstrom
4.097 0.000 0.000
0.000 7.099 0.139
0.000 -2.466 6.731
```

2.
Density functional theory data (PBE-GGA) for a relaxed structure of SmCuBi. Values from VASP.

Geometry as Quantum ESPRESSO input:
```
&SYSTEM
  ibrav = 0, nat = 3, ntyp = 3
/
ATOMIC_SPECIES
Sm 150.36 Sm.upf
Bi 208.98 Bi.upf
Cu 63.55 Cu.upf
ATOMIC_POSITIONS crystal
Sm 0.612 0.612 0.223
Bi 0.963 0.963 0.926
Cu 0.275 0.275 0.551
CELL_PARAMETERS angstrom
4.213 0.000 0.000
0.000 4.213 0.000
-2.107 -2.107 4.425
```

3.
Density functional theory data (PBE-GGA) for a relaxed structure of TiNbMo4. Values from VASP.

Geometry as Quantum ESPRESSO input:
```
&SYSTEM
  ibrav = 0, nat = 6, ntyp = 3
/
ATOMIC_SPECIES
Mo 95.94 Mo.upf
Nb 92.91 Nb.upf
Ti 47.87 Ti.upf
ATOMIC_POSITIONS crystal
Mo 0.625 0.625 0.125
Mo 0.625 0.125 0.625
Mo 0.625 0.625 0.625
Mo 0.125 0.625 0.625
Nb 0.250 0.250 0.250
Ti 0.000 0.000 0.000
CELL_PARAMETERS angstrom
-3.899 3.215 -1.479
-5.009 -1.571 0.416
-3.146 2.164 3.626
```

Values from the calculation:
For the excess energy over the best structure of this formula in the dataset, the calculation gives 183 meV/atom.

These records have ρ values of 7.73, 8.94, 8.44 g/cm3, in the order they appear.
These records have uncorrected energy values of -7.20, -4.40, -10.19 eV/atom, in the order they appear.
These records have formation energy values of -27.86, -3.79, 0.65 kcal/mol of atoms, in the order they appear.